A plane-wave DFT calculation with GGA-PBE was carried out for a relaxed Sr2TmRe2N6 crystal.

Cell: 6.117 6.117 7.059 Å, 64.33 64.33 60.00°
Positions (direct):
1 Sr 0.213 0.213 0.362
2 Sr 0.787 0.787 0.638
3 Re 0.568 0.568 0.295
4 Re 0.432 0.432 0.705
5 N 0.755 0.251 0.240
6 N 0.245 0.245 0.760
7 N 0.755 0.755 0.240
8 N 0.245 0.749 0.760
9 N 0.749 0.245 0.760
10 N 0.251 0.755 0.240
11 Tm 0.000 0.000 0.000

Summary:
Magnetization (μB/f.u.): 0.000
DOS at the Fermi energy (states/eV/cell): 2.644
Uncorrected formation energy (meV per atom): -668
VASP energy (eV for the cell shown): -90.04

=====

A plane-wave DFT calculation with GGA-PBE was carried out for a relaxed Sm2Si3GePt4 crystal.

Cell: 4.291 4.291 9.853 Å, 90.00 90.00 90.00°
Positions (direct):
1 Pt 0.500 0.000 0.628
2 Pt 0.500 0.500 0.000
3 Pt 0.000 0.500 0.372
4 Pt 0.000 0.000 0.000
5 Si 0.000 0.000 0.500
6 Si 0.000 0.500 0.128
7 Si 0.500 0.000 0.872
8 Sm 0.500 0.000 0.252
9 Sm 0.000 0.500 0.748
10 Ge 0.500 0.500 0.500

Summary:
Magnetization (μB/f.u.): 0.000
DOS at the Fermi energy (states/eV/cell): 5.750
Uncorrected formation energy (meV per atom): -1060
VASP energy (eV for the cell shown): -65.09

=====

A plane-wave DFT calculation with GGA-PBE was carried out for a relaxed RbTh2Tl3S6 crystal.

Cell: 4.271 9.020 10.141 Å, 102.70 102.16 90.00°
Positions (direct):
1 S 0.036 0.276 0.072
2 S 0.317 0.863 0.634
3 S 0.680 0.553 0.360
4 S 0.683 0.137 0.366
5 S 0.320 0.447 0.640
6 S 0.964 0.724 0.928
7 Th 0.830 0.667 0.660
8 Th 0.170 0.333 0.340
9 Tl 0.162 0.826 0.324
10 Tl 0.838 0.174 0.676
11 Tl 0.500 0.500 0.000
12 Rb 0.500 0.000 0.000

Summary:
Magnetization (μB/f.u.): 0.000
DOS at the Fermi energy (states/eV/cell): 0.000
Uncorrected formation energy (meV per atom): -1276
VASP energy (eV for the cell shown): -62.98

=====

A plane-wave DFT calculation with GGA-PBE was carried out for a relaxed GaPF crystal.

Cell: 5.457 4.075 9.510 Å, 90.00 99.01 90.00°
Positions (direct):
1 P 0.942 0.500 0.604
2 P 0.058 0.500 0.396
3 P 0.058 0.000 0.896
4 P 0.942 0.000 0.104
5 Ga 0.236 0.000 0.326
6 Ga 0.764 0.000 0.674
7 Ga 0.764 0.500 0.174
8 Ga 0.236 0.500 0.826
9 F 0.425 0.000 0.649
10 F 0.425 0.500 0.149
11 F 0.575 0.500 0.851
12 F 0.575 0.000 0.351

Summary:
Magnetization (μB/f.u.): 0.000
Energy relative to the lowest polymorph listed for this composition (meV/atom): 76
Uncorrected formation energy (meV per atom): -1175
VASP energy (eV for the cell shown): -55.33

=====

A plane-wave DFT calculation with GGA-PBE was carried out for a relaxed ZrTe3Pb crystal.

Cell: 5.621 5.621 5.621 Å, 90.00 90.00 90.00°
Positions (direct):
1 Pb 0.500 0.500 0.500
2 Te 0.000 0.500 0.000
3 Te 0.000 0.000 0.500
4 Te 0.500 0.000 0.000
5 Zr 0.000 0.000 0.000

Summary:
Magnetization (μB/f.u.): 0.000
DOS at the Fermi energy (states/eV/cell): 2.459
Energy relative to the lowest polymorph listed for this composition (meV/atom): 0
Uncorrected formation energy (meV per atom): -239
VASP energy (eV for the cell shown): -22.88

=====

A plane-wave DFT calculation with GGA-PBE was carried out for a relaxed NaCu3Au9 crystal.

Cell: 5.295 7.031 7.118 Å, 82.87 68.16 70.51°
Positions (direct):
1 Cu 0.500 0.000 0.500
2 Cu 0.000 0.000 0.500
3 Cu 0.500 0.500 0.000
4 Au 0.481 0.787 0.220
5 Au 0.975 0.667 0.355
6 Au 0.330 0.667 0.645
7 Au 0.299 0.213 0.220
8 Au 0.025 0.333 0.645
9 Au 0.000 0.500 0.000
10 Au 0.670 0.333 0.355
11 Au 0.701 0.787 0.780
12 Au 0.519 0.213 0.780
13 Na 0.000 0.000 0.000

Summary:
Energy relative to the elements (eV/atom): -0.08
Magnetization (μB/f.u.): 0.000
DOS at the Fermi energy (states/eV/cell): 4.160
VASP energy (eV for the cell shown): -44.15

=====

A plane-wave DFT calculation with GGA-PBE was carried out for a relaxed BaLiIn2Hg4 crystal.

Cell: 5.114 5.114 9.905 Å, 75.04 75.04 60.00°
Positions (direct):
1 Li 0.500 0.500 0.500
2 Hg 0.602 0.602 0.193
3 Hg 0.398 0.398 0.807
4 Hg 0.135 0.135 0.594
5 Hg 0.865 0.865 0.406
6 Ba 0.000 0.000 0.000
7 In 0.244 0.244 0.269
8 In 0.756 0.756 0.731

Summary:
Energy relative to the elements (eV/atom): -0.31
Magnetization (μB/f.u.): 0.000
DOS at the Fermi energy (states/eV/cell): 3.333
VASP energy (eV for the cell shown): -12.96

=====

A plane-wave DFT calculation with GGA-PBE was carried out for a relaxed GaHg2Bi crystal.

Cell: 4.531 4.754 4.754 Å, 90.00 90.00 90.00°
Positions (direct):
1 Hg 0.000 0.500 0.000
2 Hg 0.000 0.000 0.500
3 Ga 0.500 0.500 0.500
4 Bi 0.500 0.000 0.000

Summary:
Energy relative to the elements (eV/atom): 0.12
Magnetization (μB/f.u.): 0.000
DOS at the Fermi energy (states/eV/cell): 2.582
Energy relative to the lowest polymorph listed for this composition (meV/atom): 36
VASP energy (eV for the cell shown): -7.03

=====

A plane-wave DFT calculation with GGA-PBE was carried out for a relaxed KTaPt crystal.

Cell: 7.361 7.361 7.361 Å, 153.36 153.36 38.03°
Positions (direct):
1 Pt 0.293 0.293 0.000
2 Ta 0.720 0.720 0.000
3 K 0.988 0.988 0.000

Summary:
Energy relative to the elements (eV/atom): 0.23
Magnetization (μB/f.u.): 0.000
DOS at the Fermi energy (states/eV/cell): 1.753
Energy relative to the lowest polymorph listed for this composition (meV/atom): 0
VASP energy (eV for the cell shown): -18.30

=====

A plane-wave DFT calculation with GGA-PBE was carried out for a relaxed TaV2Tc3 crystal.

Cell: 3.089 3.089 9.234 Å, 90.00 90.00 90.00°
Positions (direct):
1 V 0.500 0.500 0.838
2 V 0.500 0.500 0.162
3 Tc 0.000 0.000 0.676
4 Tc 0.000 0.000 0.000
5 Tc 0.000 0.000 0.324
6 Ta 0.500 0.500 0.500

Summary:
Energy relative to the elements (eV/atom): -0.38
Magnetization (μB/f.u.): 0.000
DOS at the Fermi energy (states/eV/cell): 1.938
VASP energy (eV for the cell shown): -63.48

=====

A plane-wave DFT calculation with GGA-PBE was carried out for a relaxed Cd2InTe crystal.

Cell: 8.218 8.218 6.694 Å, 52.13 52.13 90.00°
Positions (direct):
1 Cd 0.875 0.881 0.750
2 Cd 0.375 0.369 0.750
3 Cd 0.119 0.625 0.250
4 Cd 0.631 0.125 0.250
5 In 0.250 0.750 0.500
6 In 0.500 0.500 0.000
7 Te 0.750 0.250 0.500
8 Te 0.000 0.000 0.000

Summary:
Magnetization (μB/f.u.): 0.000
DOS at the Fermi energy (states/eV/cell): 2.655
Energy relative to the lowest polymorph listed for this composition (meV/atom): 7
Uncorrected formation energy (meV per atom): -70
VASP energy (eV for the cell shown): -15.98

=====

A plane-wave DFT calculation with GGA-PBE was carried out for a relaxed MgNi2Te crystal.

Cell: 4.578 4.578 4.176 Å, 62.87 62.87 54.19°
Positions (direct):
1 Mg 0.250 0.250 0.250
2 Ni 0.500 0.500 0.501
3 Ni 0.000 0.000 0.999
4 Te 0.750 0.750 0.750

Summary:
Magnetization (μB/f.u.): 0.000
DOS at the Fermi energy (states/eV/cell): 0.446
Energy relative to the lowest polymorph listed for this composition (meV/atom): 29
Uncorrected formation energy (meV per atom): -87
VASP energy (eV for the cell shown): -16.65